DFT (GGA-PBE) results for an optimized crystal structure of ZrAs2HBr.

Results
Crystal system: tetragonal
SG: No. 123
Calculated density: 3588 kg/m³
D(E_F): 4.2 states/eV/f.u.
Calculated total energy: -20.98 eV per cell
Polymorph energy (0 for the lowest one): 0.281 eV per atom

a b c (Å): 5.2208 5.2208 5.4676
angles (deg): 90.00 90.00 90.00
Fractional coordinates of all 5 atoms:
As  0.5000  0.0000  0.0000
As  0.0000  0.5000  0.0000
Br  0.0000  0.0000  0.5000
H  0.5000  0.5000  0.5000
Zr  0.0000  0.0000  0.0000